Below is a relaxed SmSi6Ir12 crystal, with properties calculated at the PBE level.

The structure in POSCAR format:
```
SmSi6Ir12
1.0
5.600 3.233 2.736
-5.600 3.233 2.736
0.000 -6.467 2.736
Sm Si Ir
1 6 12
Direct
0.000 0.000 0.000
0.246 0.246 0.686
0.246 0.686 0.246
0.314 0.754 0.754
0.686 0.246 0.246
0.754 0.314 0.754
0.754 0.754 0.314
0.132 0.500 0.868
0.132 0.868 0.500
0.184 0.431 0.431
0.431 0.184 0.431
0.431 0.431 0.184
0.500 0.132 0.868
0.500 0.868 0.132
0.569 0.569 0.816
0.569 0.816 0.569
0.816 0.569 0.569
0.868 0.132 0.500
0.868 0.500 0.132
```

**SG**: R-3m (166)
**Raw total energy**: -8.05 eV per atom
**Energy relative to the elements, uncorrected**: -0.496 eV per atom